# 1
{
  "formula": "CsNa11",
  "functional": "PBE",
  "state": "optimized geometry",
  "lattice": [[-7.289, 7.289, 4.875], [7.289, -7.289, 4.875], [7.289, 7.289, -4.875]],
  "species": ["Cs", "Cs", "Na", "Na", "Na", "Na", "Na", "Na", "Na", "Na", "Na", "Na", "Na", "Na", "Na", "Na", "Na", "Na", "Na", "Na", "Na", "Na", "Na", "Na"],
  "frac_coords": [[0.375, 0.625, 0.750], [0.625, 0.375, 0.250], [0.000, 0.000, 0.000], [0.000, 0.000, 0.500], [0.000, 0.500, 0.000], [0.125, 0.875, 0.250], [0.140, 0.561, 0.333], [0.140, 0.807, 0.579], [0.193, 0.272, 0.333], [0.193, 0.860, 0.921], [0.272, 0.193, 0.833], [0.272, 0.439, 0.079], [0.439, 0.272, 0.579], [0.439, 0.860, 0.167], [0.500, 0.000, 0.500], [0.561, 0.140, 0.833], [0.561, 0.728, 0.421], [0.728, 0.561, 0.921], [0.728, 0.807, 0.167], [0.807, 0.140, 0.079], [0.807, 0.728, 0.667], [0.860, 0.193, 0.421], [0.860, 0.439, 0.667], [0.875, 0.125, 0.750]],
  "spacegroup": "I4_1/amd",
  "formation_energy_ev_per_atom": 0.02,
  "m_tot_mub_per_cell": 0.000,
  "density_g_cm3": 1.237
}

***

# 2
{
  "formula": "CsNa6",
  "functional": "PBE",
  "state": "optimized geometry",
  "lattice": [[-4.631, 4.631, 4.631], [4.631, -4.631, 4.631], [4.631, 4.631, -4.631]],
  "species": ["Cs", "Na", "Na", "Na", "Na", "Na", "Na"],
  "frac_coords": [[0.000, 0.000, 0.000], [0.250, 0.500, 0.750], [0.250, 0.750, 0.500], [0.500, 0.250, 0.750], [0.500, 0.750, 0.250], [0.750, 0.250, 0.500], [0.750, 0.500, 0.250]],
  "polymorph_energy_mev_per_atom": 151,
  "spacegroup": "Im-3m",
  "formation_energy_ev_per_atom": 0.17,
  "m_tot_mub_per_cell": 0.000,
  "density_g_cm3": 1.132
}

***

# 3
{
  "formula": "CsNaNb3",
  "functional": "PBE",
  "state": "optimized geometry",
  "lattice": [[5.121, 0.000, 0.000], [0.000, 5.121, 0.000], [0.000, 0.000, 5.121]],
  "species": ["Cs", "Na", "Nb", "Nb", "Nb"],
  "frac_coords": [[0.000, 0.000, 0.000], [0.500, 0.500, 0.500], [0.000, 0.000, 0.500], [0.000, 0.500, 0.000], [0.500, 0.000, 0.000]],
  "polymorph_energy_mev_per_atom": 18,
  "spacegroup": "Pm-3m",
  "formation_energy_ev_per_atom": 2.58,
  "m_tot_mub_per_cell": 0.000,
  "density_g_cm3": 5.375
}

***

# 4
{
  "formula": "CsNaNb3",
  "functional": "PBE",
  "state": "optimized geometry",
  "lattice": [[5.070, 0.000, 0.000], [0.000, 5.070, 0.000], [0.000, 0.000, 5.070]],
  "species": ["Cs", "Na", "Nb", "Nb", "Nb"],
  "frac_coords": [[0.000, 0.000, 0.000], [0.500, 0.500, 0.500], [0.000, 0.500, 0.500], [0.500, 0.000, 0.500], [0.500, 0.500, 0.000]],
  "polymorph_energy_mev_per_atom": 0,
  "spacegroup": "Pm-3m",
  "formation_energy_ev_per_atom": 2.56,
  "m_tot_mub_per_cell": 0.000,
  "density_g_cm3": 5.539
}

***

# 5
{
  "formula": "Cs2NaNb",
  "functional": "PBE",
  "state": "optimized geometry",
  "lattice": [[0.000, 4.738, 4.738], [4.738, 0.000, 4.738], [4.738, 4.738, 0.000]],
  "species": ["Cs", "Cs", "Na", "Nb"],
  "frac_coords": [[0.250, 0.250, 0.250], [0.750, 0.750, 0.750], [0.000, 0.000, 0.000], [0.500, 0.500, 0.500]],
  "spacegroup": "Fm-3m",
  "formation_energy_ev_per_atom": 1.18,
  "m_tot_mub_per_cell": 5.311,
  "density_g_cm3": 2.980
}

***

# 6
{
  "formula": "Cs3NaNb",
  "functional": "PBE",
  "state": "optimized geometry",
  "lattice": [[7.331, 0.000, 0.000], [0.000, 7.331, 0.000], [0.000, 0.000, 7.331]],
  "species": ["Cs", "Cs", "Cs", "Na", "Nb"],
  "frac_coords": [[0.000, 0.000, 0.500], [0.000, 0.500, 0.000], [0.500, 0.000, 0.000], [0.000, 0.000, 0.000], [0.500, 0.500, 0.500]],
  "spacegroup": "Pm-3m",
  "formation_energy_ev_per_atom": 1.20,
  "m_tot_mub_per_cell": 4.822,
  "density_g_cm3": 2.169
}

***

# 7
{
  "formula": "CsNaNb2O6",
  "functional": "PBE",
  "state": "optimized geometry",
  "lattice": [[5.148, -6.436, 0.000], [5.148, 6.436, 0.000], [-2.356, 0.000, 6.288]],
  "species": ["Cs", "Cs", "Na", "Na", "Nb", "Nb", "Nb", "Nb", "O", "O", "O", "O", "O", "O", "O", "O", "O", "O", "O", "O"],
  "frac_coords": [[0.111, 0.889, 0.750], [0.889, 0.111, 0.250], [0.210, 0.790, 0.250], [0.790, 0.210, 0.750], [0.280, 0.424, 0.833], [0.424, 0.280, 0.333], [0.576, 0.720, 0.667], [0.720, 0.576, 0.167], [0.080, 0.249, 0.733], [0.215, 0.613, 0.936], [0.249, 0.080, 0.233], [0.359, 0.419, 0.568], [0.387, 0.785, 0.564], [0.419, 0.359, 0.068], [0.581, 0.641, 0.932], [0.613, 0.215, 0.436], [0.641, 0.581, 0.432], [0.751, 0.920, 0.767], [0.785, 0.387, 0.064], [0.920, 0.751, 0.267]],
  "formation_energy_uncorrected_ev_per_atom": -2.36,
  "spacegroup": "C2/c",
  "m_tot_mub_per_cell": 0.217,
  "density_g_cm3": 3.489
}

***

# 8
{
  "formula": "Cs2NaNb2O7",
  "functional": "PBE",
  "state": "optimized geometry",
  "lattice": [[2.900, -2.893, 0.000], [2.900, 2.893, 0.000], [-2.716, 0.000, 12.167]],
  "species": ["Cs", "Cs", "Na", "Nb", "Nb", "O", "O", "O", "O", "O", "O", "O"],
  "frac_coords": [[0.191, 0.191, 0.375], [0.809, 0.809, 0.625], [0.000, 0.000, 0.000], [0.389, 0.389, 0.830], [0.611, 0.611, 0.170], [0.081, 0.582, 0.159], [0.341, 0.341, 0.674], [0.418, 0.919, 0.841], [0.500, 0.500, 0.000], [0.582, 0.081, 0.159], [0.659, 0.659, 0.326], [0.919, 0.418, 0.841]],
  "formation_energy_uncorrected_ev_per_atom": -2.13,
  "spacegroup": "C2/m",
  "m_tot_mub_per_cell": 0.959,
  "density_g_cm3": 4.771
}

***

# 9
{
  "formula": "CsNaNbRh2",
  "functional": "PBE",
  "state": "optimized geometry",
  "lattice": [[4.988, 0.000, 0.000], [0.000, 4.988, 0.000], [0.000, 0.000, 5.164]],
  "species": ["Cs", "Na", "Nb", "Rh", "Rh"],
  "frac_coords": [[0.000, 0.000, 0.000], [0.500, 0.500, 0.500], [0.500, 0.500, 0.000], [0.000, 0.500, 0.500], [0.500, 0.000, 0.500]],
  "spacegroup": "P4/mmm",
  "formation_energy_ev_per_atom": 1.86,
  "m_tot_mub_per_cell": 2.734,
  "density_g_cm3": 5.877
}

***

# 10
{
  "formula": "CsNa2NbS4",
  "functional": "PBE",
  "state": "optimized geometry",
  "lattice": [[0.000, 5.171, 4.572], [5.160, 0.000, 4.572], [5.160, 5.171, 0.000]],
  "species": ["Cs", "Na", "Na", "Nb", "S", "S", "S", "S"],
  "frac_coords": [[0.000, 0.000, 0.000], [0.250, 0.250, 0.250], [0.750, 0.750, 0.750], [0.500, 0.500, 0.500], [0.174, 0.537, 0.463], [0.464, 0.828, 0.536], [0.537, 0.174, 0.826], [0.828, 0.464, 0.172]],
  "formation_energy_uncorrected_ev_per_atom": -1.16,
  "spacegroup": "Fmm2",
  "m_tot_mub_per_cell": 0.000,
  "density_g_cm3": 2.723
}

***

# 11
{
  "formula": "CsNaNbSe4",
  "functional": "PBE",
  "state": "optimized geometry",
  "lattice": [[7.558, 0.000, 0.000], [0.000, 6.353, 0.000], [-2.897, 0.000, 9.997]],
  "species": ["Cs", "Cs", "Na", "Na", "Nb", "Nb", "Se", "Se", "Se", "Se", "Se", "Se", "Se", "Se"],
  "frac_coords": [[0.237, 0.250, 0.454], [0.763, 0.750, 0.546], [0.257, 0.250, 0.946], [0.743, 0.750, 0.054], [0.255, 0.750, 0.161], [0.745, 0.250, 0.839], [0.057, 0.750, 0.308], [0.095, 0.750, 0.929], [0.496, 0.022, 0.220], [0.496, 0.478, 0.220], [0.504, 0.522, 0.780], [0.504, 0.978, 0.780], [0.905, 0.250, 0.071], [0.943, 0.250, 0.692]],
  "formation_energy_uncorrected_ev_per_atom": -0.85,
  "spacegroup": "P2_1/m",
  "m_tot_mub_per_cell": 0.000,
  "density_g_cm3": 3.906
}

***

# 12
{
  "formula": "CsNaNbSi2",
  "functional": "PBE",
  "state": "optimized geometry",
  "lattice": [[5.039, 0.000, 0.000], [0.000, 5.039, 0.000], [0.000, 0.000, 6.017]],
  "species": ["Cs", "Na", "Nb", "Si", "Si"],
  "frac_coords": [[0.000, 0.000, 0.000], [0.500, 0.500, 0.000], [0.500, 0.500, 0.500], [0.000, 0.500, 0.500], [0.500, 0.000, 0.500]],
  "formation_energy_uncorrected_ev_per_atom": 0.46,
  "spacegroup": "P4/mmm",
  "m_tot_mub_per_cell": 1.440,
  "density_g_cm3": 3.314
}